Entry from Alexandria: KAs2Au after structural relaxation (PBE-GGA).

a b c (Å): 6.5496 6.5496 6.5496
angles (deg): 41.76 41.76 41.76
Sites, in units of the cell vectors:
As1 0.9480 0.9480 0.9480
K1 0.7547 0.7547 0.7547
Au1 0.5687 0.5687 0.5687
As2 0.2286 0.2286 0.2286

Calculated values
- formation enthalpy at 0 K (eV per formula unit) = -0.4
- distance to the lowest polymorph of the same formula (eV per atom) = 0.0485


Entry from Alexandria: TbDy4 after structural relaxation (PBE-GGA).

a b c (Å): 3.5382 3.5382 14.5477
angles (deg): 83.11 83.11 60.05
Sites, in units of the cell vectors:
Dy1 0.7998 0.7998 0.5999
Dy2 0.6000 0.6000 0.2005
Dy3 0.2002 0.2002 0.4001
Dy4 0.4000 0.4000 0.7995
Tb1 0.0000 0.0000 0.0000

Calculated values
- formation enthalpy at 0 K (eV per formula unit) = 0.1
- distance to the lowest polymorph of the same formula (eV per atom) = 0.0000


Entry from Alexandria: ScURu2 after structural relaxation (PBE-GGA).

a b c (Å): 3.2817 4.6719 4.6719
angles (deg): 90.00 90.00 90.00
Sites, in units of the cell vectors:
U1 0.5000 0.5000 0.5000
Ru1 0.0000 0.5000 0.0000
Sc1 0.5000 0.0000 0.0000
Ru2 0.0000 0.0000 0.5000

Calculated values
- formation enthalpy at 0 K (eV per formula unit) = -1.7


Entry from Alexandria: Sc2VCr after structural relaxation (PBE-GGA).

a b c (Å): 9.7954 9.7954 9.7954
angles (deg): 16.99 16.99 16.99
Sites, in units of the cell vectors:
Sc1 0.0856 0.0856 0.0856
V1 0.5000 0.5000 0.5000
Sc2 0.9144 0.9144 0.9144
Cr1 0.0000 0.0000 0.0000

Calculated values
- formation enthalpy at 0 K (eV per formula unit) = 2.8
- distance to the lowest polymorph of the same formula (eV per atom) = 0.3908


Entry from Alexandria: Nb2PdRhN after structural relaxation (PBE-GGA).

a b c (Å): 5.0080 3.6130 5.0080
angles (deg): 90.00 90.00 90.00
Sites, in units of the cell vectors:
Nb1 0.5000 0.0000 0.0000
Nb2 0.0000 0.0000 0.5000
Pd1 0.0000 0.0000 0.0000
N1 0.0000 0.5000 0.0000
Rh1 0.5000 0.5000 0.5000

Calculated values
- uncorrected formation energy (eV per atom) = 1.37


Entry from Alexandria: Nd12YSc7 after structural relaxation (PBE-GGA).

a b c (Å): 9.2058 9.2058 9.2058
angles (deg): 108.15 108.15 108.15
Sites, in units of the cell vectors:
Nd1 0.7944 0.3255 0.6254
Nd2 0.7049 0.5904 0.9386
Sc1 0.1024 0.6847 0.9997
Y1 0.0000 0.0000 0.0000
Sc2 0.9997 0.1024 0.6847
Nd3 0.9386 0.7049 0.5904
Sc3 0.0003 0.8976 0.3153
Nd4 0.2951 0.4096 0.0614
Nd5 0.2056 0.6745 0.3746
Nd6 0.6254 0.7944 0.3255
Sc4 0.3153 0.0003 0.8976
Nd7 0.4096 0.0614 0.2951
Sc5 0.8976 0.3153 0.0003
Nd8 0.3255 0.6254 0.7944
Nd9 0.0614 0.2951 0.4096
Sc6 0.5000 0.5000 0.5000
Nd10 0.5904 0.9386 0.7049
Nd11 0.3746 0.2056 0.6745
Nd12 0.6745 0.3746 0.2056
Sc7 0.6847 0.9997 0.1024

Calculated values
- formation enthalpy at 0 K (eV per formula unit) = 3.0


Entry from Alexandria: TbPm3Ga2 after structural relaxation (PBE-GGA).

a b c (Å): 4.5628 10.1072 9.2390
angles (deg): 124.52 90.00 103.05
Sites, in units of the cell vectors:
Tb1 0.1172 0.2345 0.0937
Pm1 0.6797 0.3594 0.4291
Tb2 0.8828 0.7655 0.9063
Pm2 0.3496 0.6992 0.1766
Ga1 0.2325 0.4649 0.7510
Ga2 0.7675 0.5351 0.2490
Pm3 0.0444 0.0888 0.3999
Pm4 0.9556 0.9112 0.6001
Pm5 0.6504 0.3008 0.8234
Pm6 0.3203 0.6406 0.5709
Ga3 0.4956 0.9913 0.1337
Ga4 0.5044 0.0087 0.8663

Calculated values
- formation enthalpy at 0 K (eV per formula unit) = -2.0
- distance to the lowest polymorph of the same formula (eV per atom) = 0.0636


Entry from Alexandria: Sr2AcCu9 after structural relaxation (PBE-GGA).

a b c (Å): 5.4291 5.4291 9.1103
angles (deg): 72.66 72.66 60.00
Sites, in units of the cell vectors:
Cu1 0.5724 0.5724 0.7634
Cu2 0.9082 0.4276 0.2366
Ac1 0.0000 0.0000 0.0000
Cu3 0.4276 0.9082 0.2366
Cu4 0.5724 0.0918 0.7634
Cu5 0.4276 0.4276 0.2366
Cu6 0.6699 0.6699 0.9904
Sr1 0.1443 0.1443 0.5672
Cu7 0.5000 0.5000 0.5000
Cu8 0.3301 0.3301 0.0096
Cu9 0.0918 0.5724 0.7634
Sr2 0.8557 0.8557 0.4328

Calculated values
- formation enthalpy at 0 K (eV per formula unit) = -0.5


Entry from Alexandria: Li3TlZn after structural relaxation (PBE-GGA).

a b c (Å): 5.7765 4.6067 7.2554
angles (deg): 108.51 99.74 90.00
Sites, in units of the cell vectors:
Li1 0.2891 0.8001 0.6003
Tl1 0.9385 0.6132 0.2264
Li2 0.2406 0.0022 0.0045
Li3 0.5583 0.3875 0.7751
Tl2 0.0615 0.3868 0.7736
Li4 0.4417 0.6125 0.2249
Zn1 0.2263 0.1909 0.3818
Zn2 0.7737 0.8091 0.6182
Li5 0.7594 0.9978 0.9955
Li6 0.7109 0.1999 0.3997

Calculated values
- formation enthalpy at 0 K (eV per formula unit) = -0.8
- distance to the lowest polymorph of the same formula (eV per atom) = 0.0000


Entry from Alexandria: LiSiTe2 after structural relaxation (PBE-GGA).

a b c (Å): 10.3230 10.3230 10.3230
angles (deg): 18.55 18.55 18.55
Sites, in units of the cell vectors:
Te1 0.9039 0.9039 0.9039
Si1 0.0000 0.0000 0.0000
Li1 0.5000 0.5000 0.5000
Te2 0.0961 0.0961 0.0961

Calculated values
- distance to the lowest polymorph of the same formula (eV per atom) = 0.4233
- uncorrected formation energy (eV per atom) = 0.13


Entry from Alexandria: YRhBr2 after structural relaxation (PBE-GGA).

a b c (Å): 4.3964 4.6835 4.6838
angles (deg): 86.30 90.00 90.00
Sites, in units of the cell vectors:
Br1 0.0000 0.0200 0.0198
Y1 0.5000 0.7500 0.7500
Br2 0.0000 0.4800 0.4802
Rh1 0.5000 0.2500 0.2500

Calculated values
- distance to the lowest polymorph of the same formula (eV per atom) = 0.5128
- uncorrected formation energy (eV per atom) = -0.51


Entry from Alexandria: ScTlCd after structural relaxation (PBE-GGA).

a b c (Å): 6.5738 4.6287 9.1837
angles (deg): 90.00 90.00 90.00
Sites, in units of the cell vectors:
Tl1 0.1147 0.7500 0.2338
Sc1 0.8656 0.2500 0.1026
Tl2 0.8853 0.2500 0.7662
Cd1 0.6327 0.7500 0.9361
Sc2 0.1344 0.7500 0.8974
Cd2 0.3673 0.2500 0.0639
Cd3 0.8673 0.2500 0.4361
Sc3 0.3656 0.2500 0.3974
Tl3 0.3853 0.2500 0.7338
Sc4 0.6344 0.7500 0.6026
Cd4 0.1327 0.7500 0.5639
Tl4 0.6147 0.7500 0.2662

Calculated values
- formation enthalpy at 0 K (eV per formula unit) = -0.5


Number 1: V 112.67 Å³/cell, spin magnetization 0.0 μB/cell. Number 2: V 156.28 Å³/cell, spin magnetization 0.0 μB/cell. Number 3: V 71.63 Å³/cell, spin magnetization 1.4 μB/cell. Number 4: V 69.98 Å³/cell, spin magnetization 0.0 μB/cell. Number 5: V 90.62 Å³/cell, spin magnetization 0.0 μB/cell. Number 6: V 628.29 Å³/cell, spin magnetization 0.0 μB/cell. Number 7: V 337.62 Å³/cell, spin magnetization 0.0 μB/cell. Number 8: V 218.36 Å³/cell, spin magnetization 0.0 μB/cell. Number 9: V 180.15 Å³/cell, spin magnetization 0.0 μB/cell. Number 10: V 97.26 Å³/cell, spin magnetization 0.0 μB/cell. Number 11: V 96.24 Å³/cell, spin magnetization 0.0 μB/cell. Number 12: V 279.44 Å³/cell, spin magnetization 0.0 μB/cell.